# MnSbSe2

A relaxed MnSbSe2 crystal (PBE, the Alexandria database).

Calculated values
Formation energy (no corrections) (eV per atom): 0.08
Total energy (eV per atom): -4.981

```
data_MnSbSe2
_cell_length_a 2.981
_cell_length_b 2.981
_cell_length_c 10.076
_cell_angle_alpha 90.00
_cell_angle_beta 90.00
_cell_angle_gamma 90.00
_space_group_name_H-M_alt 'P 4/m m m'
_space_group_IT_number 123
_space_group_name_Hall '-P 4 2'
loop_
_atom_site_label
_atom_site_fract_x
_atom_site_fract_y
_atom_site_fract_z
Mn1 0.000 0.000 0.000
Sb1 0.000 0.000 0.500
Se1 0.500 0.500 0.149
```

# Mn2SbSe

A relaxed Mn2SbSe crystal (PBE, the Alexandria database).

Calculated values
Formation energy (no corrections) (eV per atom): 0.07
Total energy (eV per atom): -6.421

```
data_Mn2SbSe
_cell_length_a 3.447
_cell_length_b 3.739
_cell_length_c 6.388
_cell_angle_alpha 90.00
_cell_angle_beta 90.00
_cell_angle_gamma 90.00
_space_group_name_H-M_alt 'P m m m'
_space_group_IT_number 47
loop_
_space_group_symop_operation_xyz
'x,y,z'
'-x,-y,-z'
'-x,-y,z'
'x,y,-z'
'x,-y,-z'
'-x,y,z'
'-x,y,-z'
'x,-y,z'
loop_
_atom_site_label
_atom_site_fract_x
_atom_site_fract_y
_atom_site_fract_z
Mn1 0.000 0.000 0.211
Sb1 0.500 0.500 0.000
Se1 0.500 0.000 0.500
```